Entry from Alexandria: an optimized crystal structure of Hf2VSi4 (PBE-GGA).

Cell: 4.5433 4.5433 12.9575 Å, 90.00 90.00 90.00°
Space group I4/mmm (No. 139)
One atom of each set of equivalent atoms:
Hf1 0.0000 0.0000 0.1154 x4
V1 0.0000 0.0000 0.5000 x2
Si1 0.0000 0.0000 0.3164 x4
Si2 0.0000 0.5000 0.0000 x4

Output
The calculation puts the spin magnetization at 0.00 μB/f.u. As for the density of states at the Fermi level: 6.58 states/eV per cell. The calculation puts the uncorrected formation energy at 0.129 eV per atom. The total energy comes out at -99.63 eV/cell.

=====

Entry from Alexandria: an optimized crystal structure of Hf2VSi2 (PBE-GGA).

Cell: 3.5325 14.8984 7.0453 Å, 90.00 90.00 90.00°
Space group Cmc2_1 (No. 36)
One atom of each set of equivalent atoms:
Hf1 0.0000 0.0392 0.0000 x4
Hf2 0.0000 0.1963 0.3881 x4
V1 0.0000 0.4051 0.1514 x4
Si1 0.0000 0.1859 0.7727 x4
Si2 0.0000 0.4378 0.7967 x4

Output
The calculation puts the spin magnetization at 0.00 μB/f.u. As for the density of states at the Fermi level: 13.23 states/eV per cell. The calculation puts the uncorrected formation energy at -0.397 eV per atom. The total energy comes out at -167.43 eV/cell.

=====

Entry from Alexandria: an optimized crystal structure of HfV3Si2 (PBE-GGA).

Cell: 13.0277 4.0586 7.7503 Å, 90.00 118.18 90.00°
Space group C2/m (No. 12)
One atom of each set of equivalent atoms:
Hf1 0.1453 0.0000 0.0580 x4
V1 0.0428 0.0000 0.3657 x4
V2 0.0807 0.5000 0.6693 x4
V3 0.1884 0.5000 0.4832 x4
Si1 0.0267 0.5000 0.1597 x4
Si2 0.1952 0.0000 0.7203 x4

Output
The calculation puts the spin magnetization at 0.00 μB/f.u. As for the density of states at the Fermi level: 13.33 states/eV per cell. The calculation puts the uncorrected formation energy at -0.457 eV per atom. The total energy comes out at -203.59 eV/cell.

=====

Entry from Alexandria: an optimized crystal structure of HfSiW (PBE-GGA).

Cell: 8.5352 5.2925 9.0114 Å, 90.00 90.00 90.00°
Space group Amm2 (No. 38)
One atom of each set of equivalent atoms:
Hf1 0.1865 0.0000 0.0000 x4
Hf2 0.3112 0.0000 0.3332 x4
Si1 0.0000 0.2351 0.2577 x4
Si2 0.2528 0.0000 0.6583 x4
W1 0.0000 0.0000 0.5096 x2
W2 0.5000 0.0000 0.8314 x2
W3 0.5000 0.2450 0.0765 x4

Output
The calculation puts the spin magnetization at 0.00 μB/f.u. As for the density of states at the Fermi level: 17.65 states/eV per cell. The calculation puts the uncorrected formation energy at -0.351 eV per atom. The total energy comes out at -235.07 eV/cell.

=====

Entry from Alexandria: an optimized crystal structure of HfSiW2 (PBE-GGA).

Cell: 7.5856 7.5856 5.1057 Å, 90.00 90.00 90.00°
Space group I-42d (No. 122)
One atom of each set of equivalent atoms:
Hf1 0.0000 0.0000 0.0000 x4
Si1 0.0000 0.0000 0.5000 x4
W1 0.1809 0.2500 0.6250 x8

Output
The calculation puts the spin magnetization at 0.00 μB/f.u. As for the density of states at the Fermi level: 11.21 states/eV per cell. The calculation puts the uncorrected formation energy at 0.488 eV per atom. The total energy comes out at -157.33 eV/cell.

=====

Entry from Alexandria: an optimized crystal structure of HfSiW (PBE-GGA).

Cell: 12.0231 3.5498 7.0232 Å, 90.00 90.00 90.00°
Space group Pmma (No. 51)
One atom of each set of equivalent atoms:
Hf1 0.0534 0.0000 0.2375 x4
Hf2 0.2500 0.0000 0.8357 x2
Si1 0.0946 0.5000 0.9357 x4
Si2 0.2500 0.0000 0.4466 x2
W1 0.1133 0.5000 0.5610 x4
W2 0.2500 0.5000 0.1900 x2

Output
The calculation puts the spin magnetization at 0.00 μB/f.u. As for the density of states at the Fermi level: 9.56 states/eV per cell. The calculation puts the uncorrected formation energy at -0.519 eV per atom. The total energy comes out at -179.31 eV/cell.